Ba2LaBe2P4 after structural relaxation, computed with GGA-PBE.

Results
energy of formation from the pure elements = -7.7 eV per formula unit

abc: 15.352 4.186 7.060
angles: 90.00 112.01 90.00
Space group C2/m (No. 12)
One atom of each set of equivalent atoms:
Ba1 0.145 0.000 0.085 x4
La1 0.000 0.000 0.500 x2
Be1 0.166 0.500 0.457 x4
P1 0.019 0.500 0.220 x4
P2 0.204 0.000 0.627 x4